(1)
Computed, not measured: a relaxed structure of HoVRu2 at the PBE-GGA level of DFT.

Cell lengths 3.137, 3.137, 6.676 Å; angles 90.00, 90.00, 90.00 degrees
Space group P4/mmm (No. 123)
Symmetry-distinct sites (fractional):
Ho1 0.000 0.000 0.000 (multiplicity 1)
V1 0.000 0.000 0.500 (multiplicity 1)
Ru1 0.500 0.500 0.289 (multiplicity 2)

Output
Formation enthalpy at 0 K   -0.278 eV per atom
Raw total energy   -33.36 eV per formula unit

(2)
Computed, not measured: a relaxed structure of Te2IrIN at the PBE-GGA level of DFT.

Cell lengths 4.753, 4.753, 4.621 Å; angles 90.00, 90.00, 90.00 degrees
Space group P4/mmm (No. 123)
Symmetry-distinct sites (fractional):
Te1 0.000 0.500 0.000 (multiplicity 2)
Ir1 0.000 0.000 0.500 (multiplicity 1)
I1 0.500 0.500 0.500 (multiplicity 1)
N1 0.500 0.500 0.000 (multiplicity 1)

Output
ΔE_f (raw)   1.390 eV per atom
Raw total energy   -18.07 eV per formula unit